Entry from Alexandria via LeMat-Bulk: crystalline InMoIrO6 at its relaxed geometry (GGA+U).

## Properties
SG ... P-31c (163)
Crystal system ... trigonal
E_tot ... -6.56 eV per atom
Spin magnetization ... 0.0 μB/cell

```
InMoIrO6
1.0
5.2334 0.0000 0.0000
-2.6167 4.5323 0.0000
0.0000 0.0000 8.7773
In Mo Ir O
2 2 2 12
Direct
0.3333 0.6667 0.2500 In
0.6667 0.3333 0.7500 In
0.0000 0.0000 0.0000 Mo
0.0000 0.0000 0.5000 Mo
0.3333 0.6667 0.7500 Ir
0.6667 0.3333 0.2500 Ir
0.0198 0.3286 0.6218 O
0.0198 0.6911 0.8782 O
0.3089 0.3286 0.8782 O
0.3089 0.9802 0.6218 O
0.3286 0.0198 0.1218 O
0.3286 0.3089 0.3782 O
0.6714 0.6911 0.6218 O
0.6714 0.9802 0.8782 O
0.6911 0.0198 0.3782 O
0.6911 0.6714 0.1218 O
0.9802 0.3089 0.1218 O
0.9802 0.6714 0.3782 O
```